Entry 1:
{"formula": "La5Y", "functional": "PBEsol", "state": "optimized geometry", "lattice": [[5.8926, 0.0000, 0.0000], [0.0000, 3.6358, 0.0000], [0.0000, 0.0000, 18.9326]], "species": ["La", "La", "La", "La", "La", "La", "La", "La", "La", "La", "Y", "Y"], "frac_coords": [[0.0000, 0.0000, 0.0000], [0.0000, 0.0000, 0.3304], [0.0000, 0.0000, 0.6640], [0.0000, 0.5000, 0.1640], [0.0000, 0.5000, 0.5000], [0.0000, 0.5000, 0.8304], [0.5000, 0.0000, 0.5524], [0.5000, 0.0000, 0.8865], [0.5000, 0.5000, 0.0524], [0.5000, 0.5000, 0.3865], [0.5000, 0.0000, 0.2208], [0.5000, 0.5000, 0.7208]], "delta_e_f_ev_per_atom": 0.04, "volume_a3_per_cell": 405.6, "density_g_cm3": 6.4, "relative_energy_mev_per_atom": 26}

Entry 2:
{"formula": "MnCuSi3", "functional": "PBEsol", "state": "optimized geometry", "lattice": [[4.3245, 0.0000, 0.0000], [0.0000, 4.3245, 0.0000], [0.0000, 0.0000, 4.3245]], "species": ["Mn", "Cu", "Si", "Si", "Si"], "frac_coords": [[0.0000, 0.0000, 0.0000], [0.5000, 0.5000, 0.5000], [0.0000, 0.0000, 0.5000], [0.0000, 0.5000, 0.0000], [0.5000, 0.0000, 0.0000]], "volume_a3_per_cell": 80.9, "formation_energy_uncorrected_ev_per_atom": 0.417, "density_g_cm3": 4.2}

Entry 3:
{"formula": "MnCoAg2", "functional": "PBEsol", "state": "optimized geometry", "lattice": [[6.1363, 0.0000, 0.0000], [0.0000, 6.1363, 0.0000], [0.0000, 0.0000, 6.1363]], "species": ["Mn", "Mn", "Mn", "Mn", "Co", "Co", "Co", "Co", "Ag", "Ag", "Ag", "Ag", "Ag", "Ag", "Ag", "Ag"], "frac_coords": [[0.0000, 0.0000, 0.0000], [0.0000, 0.5000, 0.5000], [0.5000, 0.0000, 0.5000], [0.5000, 0.5000, 0.0000], [0.0000, 0.0000, 0.5000], [0.0000, 0.5000, 0.0000], [0.5000, 0.0000, 0.0000], [0.5000, 0.5000, 0.5000], [0.2500, 0.2500, 0.2500], [0.2500, 0.2500, 0.7500], [0.2500, 0.7500, 0.2500], [0.2500, 0.7500, 0.7500], [0.7500, 0.2500, 0.2500], [0.7500, 0.2500, 0.7500], [0.7500, 0.7500, 0.2500], [0.7500, 0.7500, 0.7500]], "delta_e_f_ev_per_atom": 0.49, "volume_a3_per_cell": 231.1, "density_g_cm3": 9.5, "relative_energy_mev_per_atom": 114}

Entry 4:
{"formula": "CdTcOs2", "functional": "PBEsol", "state": "optimized geometry", "lattice": [[2.7439, 0.0000, 0.0000], [0.0000, 3.8867, 0.0000], [0.0000, 0.0000, 5.6783]], "species": ["Cd", "Tc", "Os", "Os"], "frac_coords": [[0.0000, 0.0000, 0.0000], [0.5000, 0.5000, 0.7211], [0.0000, 0.0000, 0.5018], [0.5000, 0.5000, 0.2749]], "delta_e_f_ev_per_atom": 0.46, "volume_a3_per_cell": 60.6, "density_g_cm3": 16.2}

Entry 5:
{"formula": "Al2InCl", "functional": "PBEsol", "state": "optimized geometry", "lattice": [[4.0438, 0.0000, 0.0000], [0.0000, 4.0438, 0.0000], [0.0000, 0.0000, 5.4035]], "species": ["Al", "Al", "In", "Cl"], "frac_coords": [[0.0000, 0.5000, 0.0000], [0.5000, 0.0000, 0.0000], [0.0000, 0.0000, 0.5000], [0.5000, 0.5000, 0.5000]], "volume_a3_per_cell": 88.4, "formation_energy_uncorrected_ev_per_atom": 0.070, "density_g_cm3": 3.8, "relative_energy_mev_per_atom": 200}

Entry 6:
{"formula": "Ba3P4O13", "functional": "PBEsol", "state": "optimized geometry", "lattice": [[5.6991, 0.0000, 0.0000], [2.4023, 6.8393, 0.0000], [1.9589, 0.3443, 7.8055]], "species": ["Ba", "Ba", "Ba", "P", "P", "P", "P", "O", "O", "O", "O", "O", "O", "O", "O", "O", "O", "O", "O", "O"], "frac_coords": [[0.0000, 0.0000, 0.0000], [0.2863, 0.1714, 0.4481], [0.6488, 0.5901, 0.2222], [0.3083, 0.3927, 0.0395], [0.6332, 0.7951, 0.7613], [0.6410, 0.3745, 0.6985], [0.9699, 0.7770, 0.4203], [0.0318, 0.5577, 0.4123], [0.0989, 0.2976, 0.1088], [0.1926, 0.8584, 0.3570], [0.2200, 0.6137, 0.0465], [0.3883, 0.9158, 0.7112], [0.4007, 0.3423, 0.8354], [0.5406, 0.2915, 0.1199], [0.5729, 0.3963, 0.5266], [0.6626, 0.8295, 0.9350], [0.6699, 0.5671, 0.7579], [0.7470, 0.8926, 0.3344], [0.8733, 0.8252, 0.6250], [0.8814, 0.2150, 0.7200]], "volume_a3_per_cell": 304.2, "formation_energy_uncorrected_ev_per_atom": -2.676, "density_g_cm3": 4.1}

Entry 7:
{"formula": "AsRh", "functional": "PBEsol", "state": "optimized geometry", "lattice": [[3.4314, 0.0000, 0.0000], [0.0000, 3.4314, 0.0000], [0.0000, 0.0000, 5.0692]], "species": ["As", "As", "Rh", "Rh"], "frac_coords": [[0.2500, 0.2500, 0.1842], [0.7500, 0.7500, 0.8158], [0.2500, 0.2500, 0.6717], [0.7500, 0.7500, 0.3283]], "delta_e_f_ev_per_atom": -0.42, "volume_a3_per_cell": 59.7, "density_g_cm3": 9.9}

Entry 8:
{"formula": "In2Co", "functional": "PBEsol", "state": "optimized geometry", "lattice": [[0.0000, 4.6801, 8.7614], [2.5687, 0.0000, 8.7614], [2.5687, 4.6801, 0.0000]], "species": ["In", "In", "In", "In", "In", "In", "In", "In", "Co", "Co", "Co", "Co"], "frac_coords": [[0.0355, 0.0355, 0.2145], [0.2145, 0.2145, 0.0355], [0.2169, 0.5331, 0.2169], [0.4669, 0.7831, 0.4669], [0.5331, 0.2169, 0.5331], [0.7831, 0.4669, 0.7831], [0.7855, 0.7855, 0.9645], [0.9645, 0.9645, 0.7855], [0.2465, 0.2465, 0.5035], [0.4965, 0.4965, 0.7535], [0.5035, 0.5035, 0.2465], [0.7535, 0.7535, 0.4965]], "delta_e_f_ev_per_atom": -0.03, "volume_a3_per_cell": 210.7, "density_g_cm3": 9.1}